## Tb2PrY3 (PBE)

Data for a geometry-optimized Tb2PrY3 structure.

The structure belongs to space group C2/m (No. 12); the cell edges are 17.902, 3.529 and 14.301 Å and the angles 90.00°, 117.29° and 90.00°. The distinct sites, in fractional coordinates, are Tb at (0.158, 0.000, 0.467), Tb at (0.182, 0.500, 0.885), Pr at (0.062, 0.000, 0.645), Y at (0.039, 0.500, 0.210), Y at (0.100, 0.000, 0.027) and Y at (0.239, 0.000, 0.294).

The relative energy among the computed polymorphs comes out at 93.0 meV per atom. Its total energy is -5.460 eV/atom. Its total magnetization is 0.00 μB per atom. For the energy of formation, the calculation gives 10.8 kJ/mol of atoms.